PBE NbCuMo2, relaxed; SG = F-43m, No. 216; formation enthalpy at 0 K = 214 meV per atom; raw total energy = -8.66 eV/atom
1.0
-0.155 -4.252 1.315
-3.034 -2.759 -1.737
1.269 -3.238 -2.781
Cu Mo Nb
1 2 1
Cartesian
-0.960 -5.124 -1.602
0.000 0.000 0.000
-0.480 -2.562 -0.801
-1.440 -7.686 -2.403



PBE DyTaPO, relaxed; polymorph energy (0 for the lowest one) = 0.682 eV per formula unit; SG = Pmc2_1, No. 26; raw total energy = -8.47 eV/atom
1.0
-3.418 -2.351 -0.051
2.317 -3.418 2.323
-1.872 2.599 5.691
Dy O P Ta
2 2 2 2
Cartesian
-0.341 -3.207 2.005
-2.022 -0.810 4.104
-0.517 -3.005 4.473
-3.155 0.804 5.613
0.291 -0.477 2.491
0.001 -0.131 5.985
1.182 -1.816 4.513
-1.448 1.983 5.660



PBE BeZnTe2, relaxed; SG = P-4m2, No. 115; raw total energy = -3.22 eV/atom
1.0
4.174 0.000 0.000
0.000 4.174 0.000
0.000 0.000 5.950
Be Te Zn
1 2 1
Cartesian
0.000 0.000 0.000
0.000 2.087 1.351
2.087 0.000 4.599
2.087 2.087 2.975



PBE PrAlPt, relaxed; SG = F-43m, No. 216; raw total energy = -4.88 eV/atom
1.0
2.421 1.398 3.953
-2.421 1.398 3.953
0.000 -2.795 3.953
Al Pr Pt
1 1 1
Cartesian
0.000 0.000 2.965
0.000 0.000 0.000
0.000 0.000 8.895



> What is the formula in the third record?

BeZnTe2



> Look up the raw total energy of the third one.

-3.22 eV/atom